DyTh2Zn4 | GGA-PBE | relaxed Values from VASP.

```
&SYSTEM
  ibrav = 0, nat = 7, ntyp = 3
/
ATOMIC_SPECIES
Th 232.04 Th.upf
Zn 65.41 Zn.upf
Dy 162.50 Dy.upf
ATOMIC_POSITIONS crystal
Th 0.2640 0.2640 0.5281
Th 0.7360 0.7360 0.4719
Zn 0.8939 0.3939 0.7878
Zn 0.6061 0.1061 0.2122
Zn 0.3939 0.8939 0.7878
Zn 0.1061 0.6061 0.2122
Dy 0.0000 0.0000 0.0000
CELL_PARAMETERS angstrom
-3.0626 3.9838 0.6083
-2.0583 -0.8895 -4.5379
-2.0898 -5.5645 4.8616
```

Energy, Ha/atom: -0.130
Formation enthalpy at 0 K, meV per atom: -44.0